Entry 1:
First-principles (PBE) data for a relaxed structure of Rh2CSe, as listed in the Alexandria database.

The calculation puts the relative energy among the computed polymorphs at 0.8267 eV per atom. Its uncorrected formation energy is 4.1 eV per formula unit.

a = 5.9475 Å, b = 5.9475 Å, c = 5.9475 Å
α = 90.00°, β = 90.00°, γ = 90.00°
Atoms (fractional coordinates):
Rh  0.2500  0.2500  0.2500
Rh  0.2500  0.2500  0.7500
Rh  0.2500  0.7500  0.2500
Rh  0.2500  0.7500  0.7500
Rh  0.7500  0.2500  0.2500
Rh  0.7500  0.2500  0.7500
Rh  0.7500  0.7500  0.2500
Rh  0.7500  0.7500  0.7500
C  0.0000  0.0000  0.0000
C  0.0000  0.5000  0.5000
C  0.5000  0.0000  0.5000
C  0.5000  0.5000  0.0000
Se  0.0000  0.0000  0.5000
Se  0.0000  0.5000  0.0000
Se  0.5000  0.0000  0.0000
Se  0.5000  0.5000  0.5000

Entry 2:
First-principles (PBE) data for a relaxed structure of NdPu4Mg, as listed in the Alexandria database.

The calculation puts the formation energy at 0.305 eV per atom.

a = 6.1842 Å, b = 6.1842 Å, c = 6.1842 Å
α = 60.00°, β = 60.00°, γ = 60.00°
Atoms (fractional coordinates):
Nd  0.0000  0.0000  0.0000
Pu  0.3756  0.3756  0.3756
Pu  0.3756  0.3756  0.8731
Pu  0.3756  0.8731  0.3756
Pu  0.8731  0.3756  0.3756
Mg  0.7500  0.7500  0.7500

Entry 3:
First-principles (PBE) data for a relaxed structure of Cs2ZnCdPt, as listed in the Alexandria database.

The calculation puts the relative energy among the computed polymorphs at 0.5385 eV per atom. The calculation puts the formation energy at 0.521 eV per atom.

a = 6.7029 Å, b = 6.7029 Å, c = 5.0896 Å
α = 90.00°, β = 90.00°, γ = 90.00°
Atoms (fractional coordinates):
Cs  0.0000  0.5000  0.0000
Cs  0.5000  0.0000  0.0000
Zn  0.0000  0.0000  0.5000
Cd  0.0000  0.0000  0.0000
Pt  0.5000  0.5000  0.5000

Entry 4:
First-principles (PBE) data for a relaxed structure of CrHg2P, as listed in the Alexandria database.

The calculation puts the formation energy at 0.115 eV per atom.

a = 3.2173 Å, b = 3.2173 Å, c = 8.4974 Å
α = 90.00°, β = 90.00°, γ = 90.00°
Atoms (fractional coordinates):
Cr  0.0000  0.0000  0.0000
Hg  0.0000  0.0000  0.6748
Hg  0.5000  0.5000  0.3959
P  0.5000  0.5000  0.0764